## A
Density functional theory data (PBE) for crystalline BaFeCu3 at its relaxed geometry.

Computed properties:
As for the size of the total moment: 2.752 μB/cell. Its crystal system is cubic.

a b c (Å): 4.7452 4.7452 4.7452
angles (deg): 90.00 90.00 90.00
Closest atoms and distances in Å follow each position.
Positions (direct):
1 Ba 0.5000 0.5000 0.5000  12 Cu 3.36
2 Cu 0.0000 0.5000 0.0000  2 Fe 2.37
3 Cu 0.0000 0.0000 0.5000  2 Fe 2.37
4 Cu 0.5000 0.0000 0.0000  2 Fe 2.37
5 Fe 0.0000 0.0000 0.0000  6 Cu 2.37

---

## B
Density functional theory data (PBE) for crystalline BaFeCu3 at its relaxed geometry.

Computed properties:
As for the size of the total moment: 0.300 μB/cell. Its crystal system is cubic.

a b c (Å): 5.3890 5.3890 5.3890
angles (deg): 90.00 90.00 90.00
Closest atoms and distances in Å follow each position.
Positions (direct):
1 Ba 0.0000 0.0000 0.0000  6 Cu 2.69
2 Cu 0.0000 0.5000 0.0000  2 Ba 2.69
3 Cu 0.0000 0.0000 0.5000  2 Ba 2.69
4 Cu 0.5000 0.0000 0.0000  2 Ba 2.69
5 Fe 0.5000 0.5000 0.5000  12 Cu 3.81

---

Stability check: which of them is most stable? A.

---

## A
Density functional theory data (PBE) for crystalline Ba2Fe2Cu at its relaxed geometry.

Computed properties:
As for the size of the total moment: 0.510 μB/cell. Its crystal system is tetragonal.

a b c (Å): 9.1159 9.1159 3.2311
angles (deg): 90.00 90.00 90.00
Closest atoms and distances in Å follow each position.
Positions (direct):
1 Ba 0.2986 0.7986 0.0000  6 Fe 3.21-3.29, 2 Ba 3.23, 2 Cu 3.28
2 Ba 0.7986 0.7014 0.0000  6 Fe 3.21-3.29, 2 Ba 3.23, 2 Cu 3.28
3 Ba 0.7014 0.2014 0.0000  6 Fe 3.21-3.29, 2 Ba 3.23, 2 Cu 3.28
4 Ba 0.2014 0.2986 0.0000  6 Fe 3.21-3.29, 2 Ba 3.23, 2 Cu 3.28
5 Cu 0.0000 0.0000 0.0000  2 Cu 3.23, 4 Ba 3.28
6 Cu 0.5000 0.5000 0.0000  2 Cu 3.23, 4 Ba 3.28
7 Fe 0.0765 0.5765 0.5000  1 Fe 1.97
8 Fe 0.5765 0.9235 0.5000  1 Fe 1.97
9 Fe 0.9235 0.4235 0.5000  1 Fe 1.97
10 Fe 0.4235 0.0765 0.5000  1 Fe 1.97

---

## B
Density functional theory data (PBE) for crystalline Ba2Fe2Cu at its relaxed geometry.

Computed properties:
As for the size of the total moment: 0.000 μB/cell. Its crystal system is tetragonal.

a b c (Å): 3.3887 3.3887 10.2979
angles (deg): 80.53 80.53 90.00
Closest atoms and distances in Å follow each position.
Positions (direct):
1 Ba 0.3866 0.3866 0.2268  4 Fe 3.22, 4 Cu 3.30, 4 Ba 3.39
2 Ba 0.6134 0.6134 0.7732  4 Fe 3.22, 4 Cu 3.30, 4 Ba 3.39
3 Cu 0.0000 0.0000 0.0000  8 Ba 3.30, 4 Cu 3.39
4 Fe 0.7500 0.2500 0.5000  4 Fe 2.40
5 Fe 0.2500 0.7500 0.5000  4 Fe 2.40

---

Stability check: which of them is most stable? B.

---

## A
Density functional theory data (PBE) for crystalline BaFeCu at its relaxed geometry.

Computed properties:
As for the size of the total moment: 2.753 μB/cell. Its crystal system is cubic.

a b c (Å): 4.9170 4.9170 4.9170
angles (deg): 60.00 60.00 60.00
Closest atoms and distances in Å follow each position.
Positions (direct):
1 Ba 0.5000 0.5000 0.5000  4 Cu 3.01
2 Cu 0.2500 0.2500 0.2500  4 Ba 3.01, 4 Fe 3.01
3 Fe 0.0000 0.0000 0.0000  4 Cu 3.01

---

## B
Density functional theory data (PBE) for crystalline BaFeCu at its relaxed geometry.

Computed properties:
As for the size of the total moment: 2.437 μB/cell. Its crystal system is hexagonal.

a b c (Å): 4.2332 4.2332 4.8930
angles (deg): 90.00 90.00 120.00
Closest atoms and distances in Å follow each position.
Positions (direct):
1 Ba 0.0000 0.0000 0.0000  6 Fe 3.46, 6 Cu 3.46
2 Cu 0.6667 0.3333 0.5000  3 Fe 2.44
3 Fe 0.3333 0.6667 0.5000  3 Cu 2.44

---

Stability check: which of them is most stable? B.

---

## A
Density functional theory data (PBE) for crystalline BaFeCu at its relaxed geometry.

Computed properties:
As for the size of the total moment: 2.780 μB/cell. Its crystal system is orthorhombic.

a b c (Å): 6.1817 6.1817 6.1817
angles (deg): 147.13 147.23 47.10
Closest atoms and distances in Å follow each position.
Positions (direct):
1 Ba 0.9978 0.9978 0.0000  1 Fe 3.07, 1 Cu 3.14
2 Cu 0.2753 0.2753 0.0000  4 Fe 2.53
3 Fe 0.7270 0.7270 0.0000  4 Cu 2.53

---

## B
Density functional theory data (PBE) for crystalline BaFeCu at its relaxed geometry.

Computed properties:
As for the size of the total moment: 3.076 μB/cell. Its crystal system is cubic.

a b c (Å): 5.2139 5.2139 5.2139
angles (deg): 60.00 60.00 60.00
Closest atoms and distances in Å follow each position.
Positions (direct):
1 Ba 0.2500 0.2500 0.2500  4 Fe 3.19, 4 Cu 3.19
2 Cu 0.0000 0.0000 0.0000  4 Ba 3.19
3 Fe 0.5000 0.5000 0.5000  4 Ba 3.19

---

Stability check: which of them is most stable? A.

---

## A
Density functional theory data (PBE) for crystalline BaGa2Cu4 at its relaxed geometry.

Computed properties:
As for the size of the total moment: 0.000 μB/cell. Its crystal system is tetragonal.

a b c (Å): 5.3349 5.3349 7.7290
angles (deg): 69.81 69.81 90.00
Closest atoms and distances in Å follow each position.
Positions (direct):
1 Cu 0.7626 0.7626 0.4749  1 Ga 2.32
2 Cu 0.2374 0.2374 0.5251  1 Ga 2.32
3 Cu 0.0000 0.5000 0.0000  2 Ba 2.67, 4 Ga 2.93
4 Cu 0.5000 0.0000 0.0000  2 Ba 2.67, 4 Ga 2.93
5 Ba 0.0000 0.0000 0.0000  4 Cu 2.67
6 Ga 0.5903 0.5903 0.8193  1 Cu 2.32, 1 Ga 2.44
7 Ga 0.4097 0.4097 0.1807  1 Cu 2.32, 1 Ga 2.44

---

## B
Density functional theory data (PBE) for crystalline BaGa2Cu4 at its relaxed geometry.

Computed properties:
As for the size of the total moment: 0.000 μB/cell. Its crystal system is tetragonal.

a b c (Å): 6.8590 6.8590 6.8590
angles (deg): 113.24 107.62 107.62
Closest atoms and distances in Å follow each position.
Positions (direct):
1 Cu 0.7700 0.7960 0.2960  3 Cu 2.43-2.57, 4 Ga 2.57-2.68
2 Cu 0.2300 0.5260 0.0260  3 Cu 2.43-2.57, 4 Ga 2.57-2.68
3 Cu 0.5000 0.2960 0.5260  3 Cu 2.43-2.57, 4 Ga 2.57-2.68
4 Cu 0.5000 0.0260 0.7960  3 Cu 2.43-2.57, 4 Ga 2.57-2.68
5 Cu 0.5000 0.9740 0.2040  3 Cu 2.43-2.57, 4 Ga 2.57-2.68
6 Cu 0.5000 0.7040 0.4740  3 Cu 2.43-2.57, 4 Ga 2.57-2.68
7 Cu 0.7700 0.4740 0.9740  3 Cu 2.43-2.57, 4 Ga 2.57-2.68
8 Cu 0.2300 0.2040 0.7040  3 Cu 2.43-2.57, 4 Ga 2.57-2.68
9 Ba 0.0000 0.2500 0.2500  8 Cu 3.22, 8 Ga 3.58
10 Ba 0.0000 0.7500 0.7500  8 Cu 3.22, 8 Ga 3.58
11 Ga 0.8183 0.1592 0.6592  8 Cu 2.57-2.68
12 Ga 0.1817 0.8408 0.3408  8 Cu 2.57-2.68
13 Ga 0.5000 0.6592 0.8408  8 Cu 2.57-2.68
14 Ga 0.5000 0.3408 0.1592  8 Cu 2.57-2.68

---

Stability check: which of them is most stable? B.

---

## A
Density functional theory data (PBE) for crystalline Ba2Ga2Cu at its relaxed geometry.

Computed properties:
As for the size of the total moment: 0.000 μB/cell. Its crystal system is orthorhombic.

a b c (Å): 4.2738 4.4685 8.3553
angles (deg): 105.51 90.00 90.00
Closest atoms and distances in Å follow each position.
Positions (direct):
1 Ba 0.0000 0.6910 0.3820  6 Ga 3.46-3.69, 4 Cu 3.52, 1 Ba 3.79
2 Ba 0.0000 0.9264 0.8528  2 Cu 3.35, 8 Ga 3.45-3.56
3 Ga 0.5000 0.3162 0.6324  1 Ga 3.31, 8 Ba 3.56-3.69, 1 Cu 3.70
4 Ga 0.5000 0.5220 0.0439  2 Cu 2.46
5 Cu 0.5000 0.0865 0.1730  2 Ga 2.46

---

## B
Density functional theory data (PBE) for crystalline Ba2Ga2Cu at its relaxed geometry.

Computed properties:
As for the size of the total moment: 0.000 μB/cell. Its crystal system is tetragonal.

a b c (Å): 7.3425 7.3425 5.3045
angles (deg): 90.00 90.00 90.00
Closest atoms and distances in Å follow each position.
Positions (direct):
1 Cu 0.0000 0.0000 0.0000  4 Ga 2.87
2 Cu 0.5000 0.5000 0.0000  4 Ga 2.87
3 Ba 0.1733 0.6733 0.5000  6 Ga 3.33-3.49, 1 Ba 3.60
4 Ba 0.6733 0.8267 0.5000  6 Ga 3.33-3.49, 1 Ba 3.60
5 Ba 0.8267 0.3267 0.5000  6 Ga 3.33-3.49, 1 Ba 3.60
6 Ba 0.3267 0.1733 0.5000  6 Ga 3.33-3.49, 1 Ba 3.60
7 Ga 0.3668 0.8668 0.0000  1 Ga 2.77, 2 Cu 2.87
8 Ga 0.8668 0.6332 0.0000  1 Ga 2.77, 2 Cu 2.87
9 Ga 0.6332 0.1332 0.0000  1 Ga 2.77, 2 Cu 2.87
10 Ga 0.1332 0.3668 0.0000  1 Ga 2.77, 2 Cu 2.87

---

## C
Density functional theory data (PBE) for crystalline Ba2Ga2Cu at its relaxed geometry.

Computed properties:
As for the size of the total moment: 0.000 μB/cell. Its crystal system is monoclinic.

a b c (Å): 5.1522 6.1263 10.4206
angles (deg): 81.53 75.69 65.13
Closest atoms and distances in Å follow each position.
Positions (direct):
1 Ba 0.6819 0.3064 0.3297  4 Cu 3.33-3.47, 5 Ga 3.33-3.63
2 Ba 0.9085 0.3071 0.8759  6 Ga 3.36-3.71
3 Ba 0.3181 0.6936 0.6703  4 Cu 3.33-3.47, 5 Ga 3.33-3.63
4 Ba 0.0915 0.6929 0.1241  6 Ga 3.36-3.71
5 Ga 0.0988 0.2590 0.5435  3 Cu 2.69-2.93, 1 Ga 2.78
6 Ga 0.5984 0.9182 0.8850  1 Ga 2.53, 1 Cu 2.56
7 Ga 0.9012 0.7410 0.4565  3 Cu 2.69-2.93, 1 Ga 2.78
8 Ga 0.4016 0.0818 0.1150  1 Ga 2.53, 1 Cu 2.56
9 Cu 0.6424 0.0733 0.6420  2 Ga 2.56-2.69
10 Cu 0.3576 0.9267 0.3580  2 Ga 2.56-2.69

---

Stability check: which of them is most stable? C.